Below is a geometry-optimized Sr2InCo2O6 structure, with properties calculated at the PBE with a Hubbard U level.

Cell and atoms, written as CIF:
```
data_Sr2InCo2O6
_symmetry_space_group_name_H-M 'P 1'
_symmetry_Int_Tables_number 1
_cell_length_a 5.9142
_cell_length_b 5.9142
_cell_length_c 6.5316
_cell_angle_alpha 63.08
_cell_angle_beta 63.08
_cell_angle_gamma 60.00
loop_
_symmetry_equiv_pos_as_xyz
'x,y,z'
loop_
_atom_site_label
_atom_site_type_symbol
_atom_site_fract_x
_atom_site_fract_y
_atom_site_fract_z
_atom_site_occupancy
O1 O 0.2288 0.7536 0.2639 1
O2 O 0.7536 0.2288 0.2639 1
O3 O 0.7536 0.7536 0.2639 1
O4 O 0.7712 0.2464 0.7361 1
O5 O 0.2464 0.7712 0.7361 1
O6 O 0.2464 0.2464 0.7361 1
Sr1 Sr 0.2074 0.2074 0.3778 1
Sr2 Sr 0.7926 0.7926 0.6222 1
Co1 Co 0.5841 0.5841 0.2476 1
Co2 Co 0.4159 0.4159 0.7524 1
In1 In 0.0000 0.0000 0.0000 1
```

Calculated values
The calculation puts the magnetization at 7.000 μB/cell. As for the crystal system: trigonal. The total energy comes out at -0.4276 Ry/atom. As for the space group: R-3m (166).